## Si3HgW (PBEsol)

Data for a relaxed Si3HgW crystal.

```
5
Lattice="-1.8732 3.6704 2.3896 -2.7482 1.0386 -3.7497 -3.4102 -2.8532 1.7091" Properties=species:S:1:pos:R:3 pbc="T T T"
Si -1.7051 -1.4266 0.8546
Si -0.9366 1.8352 1.1948
Si -1.3741 0.5193 -1.8748
Hg -4.0158 0.9280 0.1746
W 0.0000 0.0000 0.0000
```

Summary:
SG: Pm-3m, No. 221
Calculated total energy, eV per atom: -5.842
E_form (uncorrected), eV/atom: 0.48

***

## YSi2Hg2 (PBEsol)

Data for a relaxed YSi2Hg2 crystal.

```
5
Lattice="-0.8514 -1.0150 3.9199 2.2545 -3.4461 -0.4026 4.1801 5.2103 0.0732" Properties=species:S:1:pos:R:3 pbc="T T T"
Si 1.6319 -1.6627 2.1077
Si 3.9514 2.4119 1.4827
Hg 3.5681 -0.2332 0.7146
Hg 2.0152 0.9824 2.8758
Y 0.0000 0.0000 0.0000
```

Summary:
SG: I4/mmm, No. 139
Calculated total energy, eV per atom: -4.036
E_form (uncorrected), eV/atom: -0.15

***

## Zn2SiHg (PBEsol)

Data for a relaxed Zn2SiHg crystal.

```
4
Lattice="2.6740 0.0000 0.0216 0.0000 3.7278 0.0000 -0.0570 0.0000 6.7555" Properties=species:S:1:pos:R:3 pbc="T T T"
Hg 1.3370 1.8639 0.0108
Zn -0.0404 0.0000 4.8278
Zn 2.6574 0.0000 1.9494
Si 1.3085 1.8639 3.3886
```

Summary:
SG: Pmmm, No. 47
Calculated total energy, eV per atom: -2.158
E_form (uncorrected), eV/atom: 0.21

***

## ZnSi2Hg (PBEsol)

Data for a relaxed ZnSi2Hg crystal.

```
4
Lattice="-0.3480 1.3981 -4.3874 2.5029 -2.0639 -3.2865 -2.0686 -2.6974 -3.1258" Properties=species:S:1:pos:R:3 pbc="T T T"
Zn 0.0216 -0.8408 -2.6999
Hg 0.0431 -1.6816 -5.3999
Si 0.0000 0.0000 0.0000
Si 0.0647 -2.5223 -8.0998
```

Summary:
SG: F-43m, No. 216
Calculated total energy, eV per atom: -2.949
E_form (uncorrected), eV/atom: 0.46

***

## ZnSi2Hg (PBEsol)

Data for a relaxed ZnSi2Hg crystal.

```
4
Lattice="-1.9064 -1.3814 1.4147 3.4364 -3.9378 0.7857 -0.2308 4.0776 3.6705" Properties=species:S:1:pos:R:3 pbc="T T T"
Hg 0.7650 -2.6596 1.1002
Si 1.6028 0.0699 2.2281
Si -0.1154 2.0388 1.8353
Zn -0.9532 -0.6907 0.7073
```

Summary:
SG: Cmmm, No. 65
Calculated total energy, eV per atom: -2.979
E_form (uncorrected), eV/atom: 0.43

***

## Zn4SiHg (PBEsol)

Data for a relaxed Zn4SiHg crystal.

```
6
Lattice="-0.3517 -4.7048 2.0487 2.1736 -4.0096 -2.3780 4.1637 -2.2419 2.0232" Properties=species:S:1:pos:R:3 pbc="T T T"
Zn 3.9205 -4.4914 0.0311
Zn 3.7440 -6.8531 1.0595
Zn 2.6529 -4.8404 2.2532
Zn 1.6538 -5.7277 0.0439
Si 0.0000 0.0000 0.0000
Hg 1.4964 -2.7391 0.4235
```

Summary:
SG: F-43m, No. 216
Calculated total energy, eV per atom: -1.884
E_form (uncorrected), eV/atom: 0.22

***

## ZnSi2Hg (PBEsol)

Data for a relaxed ZnSi2Hg crystal.

```
8
Lattice="-3.9718 -0.7370 -1.0751 -0.6323 -1.9259 3.6559 0.0301 8.5794 2.1348" Properties=species:S:1:pos:R:3 pbc="T T T"
Zn -2.3020 -1.3314 1.2904
Zn -3.1219 3.2555 1.1751
Si -2.8111 4.9040 2.9602
Si -0.5969 5.9679 2.1777
Si -2.3110 0.1321 3.2548
Si -3.4290 0.8290 1.0386
Hg -1.4521 2.6610 3.5406
Hg 0.0000 0.0000 0.0000
```

Summary:
SG: I-42d, No. 122
Calculated total energy, eV per atom: -3.078
E_form (uncorrected), eV/atom: 0.33

***

## Zn2SiHg (PBEsol)

Data for a relaxed Zn2SiHg crystal.

```
4
Lattice="3.9171 0.0000 0.0000 0.0000 4.1420 0.0000 0.0000 0.0000 4.1420" Properties=species:S:1:pos:R:3 pbc="T T T"
Hg 1.9586 2.0710 2.0710
Zn 0.0000 2.0710 0.0000
Zn 0.0000 0.0000 2.0710
Si 1.9586 0.0000 0.0000
```

Summary:
SG: P4/mmm, No. 123
Calculated total energy, eV per atom: -2.100
E_form (uncorrected), eV/atom: 0.27

***

## ZnSi2Hg (PBEsol)

Data for a relaxed ZnSi2Hg crystal.

```
4
Lattice="-0.0486 0.6167 -2.6516 1.5311 -4.3654 -1.0434 -5.8195 0.1660 1.5433" Properties=species:S:1:pos:R:3 pbc="T T T"
Si -2.2237 -0.7481 -0.1332
Si -2.1133 -2.8346 -2.0185
Hg 0.7655 -2.1827 -0.5217
Zn -0.0243 0.3084 -1.3258
```

Summary:
SG: Immm, No. 71
Calculated total energy, eV per atom: -3.055
E_form (uncorrected), eV/atom: 0.36

***

## Zn2SiHg (PBEsol)

Data for a relaxed Zn2SiHg crystal.

```
4
Lattice="-1.8006 2.1898 -0.0325 -2.7713 -0.4372 0.4092 -0.2855 1.7457 9.7552" Properties=species:S:1:pos:R:3 pbc="T T T"
Si -1.2563 0.8352 2.2069
Zn -0.2901 1.7413 9.7194
Zn -3.6101 2.6546 7.8553
Hg -2.4152 1.7619 5.1714
```

Summary:
SG: R3m, No. 160
Calculated total energy, eV per atom: -2.117
E_form (uncorrected), eV/atom: 0.25

***

## ZrSiHg2 (PBEsol)

Data for a relaxed ZrSiHg2 crystal.

```
4
Lattice="-0.0227 -2.5882 1.7240 5.3356 0.0519 0.1481 -2.5401 2.6180 3.8970" Properties=species:S:1:pos:R:3 pbc="T T T"
Si -0.0113 -1.2941 0.8620
Hg 2.6678 0.0259 0.0740
Hg -1.2701 1.3090 1.9485
Zr 1.3864 0.0408 2.8845
```

Summary:
SG: Cmmm, No. 65
Calculated total energy, eV per atom: -4.037
E_form (uncorrected), eV/atom: -0.04

***

## SmHg2 (PBEsol)

Data for a relaxed SmHg2 crystal.

```
3
Lattice="-1.6666 2.8835 -0.8347 -3.5371 -1.1223 3.1852 3.8489 2.6448 1.4518" Properties=species:S:1:pos:R:3 pbc="T T T"
Hg 1.3869 1.3891 2.0296
Hg -1.0751 0.1334 2.6074
Sm -0.8333 1.4418 -0.4174
```

Summary:
SG: P6/mmm, No. 191
Calculated total energy, eV per atom: -2.618

***

> Among the records above, which one has the highest calculated total energy?

Zn4SiHg

***

Please write out number 10 again, unchanged.
## Zn2SiHg (PBEsol)

Data for a relaxed Zn2SiHg crystal.

```
4
Lattice="-1.8006 2.1898 -0.0325 -2.7713 -0.4372 0.4092 -0.2855 1.7457 9.7552" Properties=species:S:1:pos:R:3 pbc="T T T"
Si -1.2563 0.8352 2.2069
Zn -0.2901 1.7413 9.7194
Zn -3.6101 2.6546 7.8553
Hg -2.4152 1.7619 5.1714
```

Summary:
SG: R3m, No. 160
Calculated total energy, eV per atom: -2.117
E_form (uncorrected), eV/atom: 0.25

***

> Look up the calculated total energy of the twelfth one.

-2.618 eV per atom

***

> What is the formula in the seventh record?

ZnSi2Hg